Computed, not measured: an optimized crystal structure of TbPr10Ho6 at the GGA-PBE level of DFT.

Output
Mass density ... 7.20 g cm⁻³
Formation energy ... 0.1278 eV per atom

The structure in CIF format:
```
data_TbPr10Ho6
_chemical_formula_sum 'Tb1 Pr10 Ho6'
_symmetry_space_group_name_H-M 'P -3 1 m'
_symmetry_Int_Tables_number 162
_symmetry_space_group_name_Hall '-P 3 2'
_cell_length_a 9.8968
_cell_length_b 9.8968
_cell_length_c 6.9538
_cell_angle_alpha 90.00
_cell_angle_beta 90.00
_cell_angle_gamma 120.00
loop_
_atom_site_label
_atom_site_fract_x
_atom_site_fract_y
_atom_site_fract_z
Tb1 0.0000 0.0000 0.0000
Pr1 0.0000 0.2754 0.6822
Pr2 0.3333 0.6667 0.0000
Pr3 0.3333 0.6667 0.5000
Ho1 0.0000 0.3678 0.1866
```